The following is a PBE calculation of crystalline BaHf2Pd at its relaxed geometry, from Alexandria via LeMat-Bulk.

uncorrected energy	-6.119	eV/atom
energy relative to the elements	61	kJ per mole of atoms
energy above the most stable polymorph in this dataset	0.72	eV/f.u.
total magnetization	0.00	μB/f.u.
theoretical density	7.1	g/cm3

Structure (CIF):
```
data_BaHf2Pd
_space_group_name_H-M_alt 'I 41/a m d'
_space_group_IT_number 141
_cell_length_a 5.546
_cell_length_b 5.546
_cell_length_c 18.249
_cell_angle_alpha 90.00
_cell_angle_beta 90.00
_cell_angle_gamma 90.00
loop_
_space_group_symop_operation_xyz
'x,y,z'
'-x,-y,-z'
'-y+1/4,x+3/4,z+1/4'
'y+1/4,-x+3/4,-z+1/4'
'-x+1/2,-y,z+1/2'
'x+1/2,y,-z+1/2'
'y+1/4,-x+1/4,z+3/4'
'-y+1/4,x+1/4,-z+3/4'
'x,-y,-z'
'-x,y,z'
'-y+1/4,-x+1/4,-z+3/4'
'y+1/4,x+1/4,z+3/4'
'-x+1/2,y,-z+1/2'
'x+1/2,-y,z+1/2'
'y+1/4,x+3/4,-z+1/4'
'-y+1/4,-x+3/4,z+1/4'
'x+1/2,y+1/2,z+1/2'
'-x+1/2,-y+1/2,-z+1/2'
'-y+3/4,x+1/4,z+3/4'
'y+3/4,-x+1/4,-z+3/4'
'-x,-y+1/2,z'
'x,y+1/2,-z'
'y+3/4,-x+3/4,z+1/4'
'-y+3/4,x+3/4,-z+1/4'
'x+1/2,-y+1/2,-z+1/2'
'-x+1/2,y+1/2,z+1/2'
'-y+3/4,-x+3/4,-z+1/4'
'y+3/4,x+3/4,z+1/4'
'-x,y+1/2,-z'
'x,-y+1/2,z'
'y+3/4,x+1/4,-z+3/4'
'-y+3/4,-x+1/4,z+3/4'
loop_
_atom_site_label
_atom_site_fract_x
_atom_site_fract_y
_atom_site_fract_z
_atom_site_occupancy
Ba1 0.000 0.250 0.375 1
Hf1 0.000 0.000 0.000 1
Pd1 0.000 0.250 0.875 1
```

***

The following is a PBE calculation of crystalline Ba3HfPd at its relaxed geometry, from Alexandria via LeMat-Bulk.

uncorrected energy	-3.705	eV/atom
energy relative to the elements	46	kJ per mole of atoms
energy above the most stable polymorph in this dataset	0.00	eV/f.u.
total magnetization	2.58	μB/f.u.
theoretical density	5.1	g/cm3

Structure (CIF):
```
data_Ba3HfPd
_space_group_name_H-M_alt 'P m -3 m'
_space_group_IT_number 221
_space_group_name_Hall '-P 4 2 3'
_cell_length_a 6.105
_cell_length_b 6.105
_cell_length_c 6.105
_cell_angle_alpha 90.00
_cell_angle_beta 90.00
_cell_angle_gamma 90.00
loop_
_atom_site_label
_atom_site_fract_x
_atom_site_fract_y
_atom_site_fract_z
_atom_site_occupancy
Ba1 0.000 0.000 0.500 1
Hf1 0.500 0.500 0.500 1
Pd1 0.000 0.000 0.000 1
```

***

The following is a PBE calculation of crystalline BaHf2Pd2 at its relaxed geometry, from Alexandria via LeMat-Bulk.

uncorrected energy	-6.794	eV/atom
energy relative to the elements	-34	kJ per mole of atoms
energy above the most stable polymorph in this dataset	0.00	eV/f.u.
total magnetization	0.00	μB/f.u.
theoretical density	9.3	g/cm3

Structure (CIF):
```
data_BaHf2Pd2
_space_group_name_H-M_alt 'I 4/m m m'
_space_group_IT_number 139
_space_group_name_Hall '-I 4 2'
_cell_length_a 4.692
_cell_length_b 4.692
_cell_length_c 11.452
_cell_angle_alpha 90.00
_cell_angle_beta 90.00
_cell_angle_gamma 90.00
loop_
_atom_site_label
_atom_site_fract_x
_atom_site_fract_y
_atom_site_fract_z
_atom_site_occupancy
Ba1 0.000 0.000 0.000 1
Hf1 0.000 0.500 0.250 1
Pd1 0.000 0.000 0.369 1
```

***

The following is a PBE calculation of crystalline BaHfPd2 at its relaxed geometry, from Alexandria via LeMat-Bulk.

uncorrected energy	-6.099	eV/atom
energy relative to the elements	-52	kJ per mole of atoms
energy above the most stable polymorph in this dataset	0.00	eV/f.u.
total magnetization	0.00	μB/f.u.
theoretical density	9.4	g/cm3

Structure (CIF):
```
data_BaHfPd2
_space_group_name_H-M_alt 'P 4/m m m'
_space_group_IT_number 123
_space_group_name_Hall '-P 4 2'
_cell_length_a 3.449
_cell_length_b 3.449
_cell_length_c 7.842
_cell_angle_alpha 90.00
_cell_angle_beta 90.00
_cell_angle_gamma 90.00
loop_
_atom_site_label
_atom_site_fract_x
_atom_site_fract_y
_atom_site_fract_z
_atom_site_occupancy
Ba1 0.000 0.000 0.000 1
Hf1 0.000 0.000 0.500 1
Pd1 0.500 0.500 0.318 1
```

***

The following is a PBE calculation of crystalline Ba2HfPd2 at its relaxed geometry, from Alexandria via LeMat-Bulk.

uncorrected energy	-5.016	eV/atom
energy relative to the elements	-17	kJ per mole of atoms
total magnetization	0.00	μB/f.u.
theoretical density	7.8	g/cm3

Structure (CIF):
```
data_Ba2HfPd2
_space_group_name_H-M_alt 'P 4/m b m'
_space_group_IT_number 127
_space_group_name_Hall '-P 4 2ab'
_cell_length_a 7.296
_cell_length_b 7.296
_cell_length_c 5.302
_cell_angle_alpha 90.00
_cell_angle_beta 90.00
_cell_angle_gamma 90.00
loop_
_atom_site_label
_atom_site_fract_x
_atom_site_fract_y
_atom_site_fract_z
_atom_site_occupancy
Ba1 0.170 0.330 0.000 1
Hf1 0.000 0.000 0.500 1
Pd1 0.143 0.643 0.500 1
```

***

The following is a PBE calculation of crystalline Ba2HfPdSe at its relaxed geometry, from Alexandria via LeMat-Bulk.

formation energy without anion corrections	0.156	eV per atom
uncorrected energy	-4.339	eV/atom
total magnetization	1.74	μB/f.u.
theoretical density	5.5	g/cm3

Structure (CIF):
```
data_Ba2HfPdSe
_space_group_name_H-M_alt 'P 4/m m m'
_space_group_IT_number 123
_space_group_name_Hall '-P 4 2'
_cell_length_a 6.337
_cell_length_b 6.337
_cell_length_c 4.796
_cell_angle_alpha 90.00
_cell_angle_beta 90.00
_cell_angle_gamma 90.00
loop_
_atom_site_label
_atom_site_fract_x
_atom_site_fract_y
_atom_site_fract_z
_atom_site_occupancy
Ba1 0.000 0.500 0.000 1
Hf1 0.000 0.000 0.000 1
Pd1 0.000 0.000 0.500 1
Se1 0.500 0.500 0.500 1
```

***

Density of states at the Fermi level (states/eV/atom)
1.57; 1.60; 1.13; 0.90; 0.79; 1.20